1.
{"formula": "ZrRe2C", "functional": "PBE", "state": "optimized geometry", "sg": "No. 122", "ef_ev_per_atom": 0.12, "dos_ef_per_ev_atom": 0.532, "lattice": [[7.0342, 0.0000, 0.0000], [0.0000, 7.0342, 0.0000], [0.0000, 0.0000, 4.8094]], "species": ["Zr", "Zr", "Zr", "Zr", "Re", "Re", "Re", "Re", "Re", "Re", "Re", "Re", "C", "C", "C", "C"], "fractional_positions": [[0.0000, 0.0000, 0.0000], [0.0000, 0.5000, 0.2500], [0.5000, 0.0000, 0.7500], [0.5000, 0.5000, 0.5000], [0.1373, 0.2500, 0.6250], [0.2500, 0.6373, 0.8750], [0.2500, 0.8627, 0.3750], [0.3627, 0.2500, 0.1250], [0.6373, 0.7500, 0.1250], [0.7500, 0.1373, 0.3750], [0.7500, 0.3627, 0.8750], [0.8627, 0.7500, 0.6250], [0.0000, 0.0000, 0.5000], [0.0000, 0.5000, 0.7500], [0.5000, 0.0000, 0.2500], [0.5000, 0.5000, 0.0000]]}

=====

2.
{"formula": "Rh3C", "functional": "PBE", "state": "optimized geometry", "sg": "No. 139", "ef_ev_per_atom": 1.01, "dos_ef_per_ev_atom": 1.274, "lattice": [[3.6940, 0.0000, 0.0000], [0.0000, 3.6940, 0.0000], [0.0000, 0.0000, 15.6685]], "species": ["Rh", "Rh", "Rh", "Rh", "Rh", "Rh", "Rh", "Rh", "Rh", "Rh", "Rh", "Rh", "C", "C", "C", "C"], "fractional_positions": [[0.0000, 0.0000, 0.1309], [0.0000, 0.0000, 0.8691], [0.0000, 0.5000, 0.0000], [0.0000, 0.5000, 0.2500], [0.0000, 0.5000, 0.5000], [0.0000, 0.5000, 0.7500], [0.5000, 0.0000, 0.0000], [0.5000, 0.0000, 0.2500], [0.5000, 0.0000, 0.5000], [0.5000, 0.0000, 0.7500], [0.5000, 0.5000, 0.3691], [0.5000, 0.5000, 0.6309], [0.0000, 0.0000, 0.4242], [0.0000, 0.0000, 0.5758], [0.5000, 0.5000, 0.0758], [0.5000, 0.5000, 0.9242]]}

=====

3.
{"formula": "RhC", "functional": "PBE", "state": "optimized geometry", "sg": "No. 194", "ef_ev_per_atom": 0.93, "dos_ef_per_ev_atom": 0.968, "lattice": [[3.0556, 0.0000, 0.0000], [-1.5278, 2.6462, 0.0000], [0.0000, 0.0000, 5.1845]], "species": ["Rh", "Rh", "C", "C"], "fractional_positions": [[0.0000, 0.0000, 0.0000], [0.0000, 0.0000, 0.5000], [0.3333, 0.6667, 0.2500], [0.6667, 0.3333, 0.7500]]}

=====

4.
{"formula": "Rh3C", "functional": "PBE", "state": "optimized geometry", "sg": "No. 63", "ef_ev_per_atom": 0.54, "dos_ef_per_ev_atom": 1.386, "lattice": [[7.6880, 0.0000, 0.0000], [0.0000, 7.9226, 0.0000], [0.0000, 0.0000, 3.8711]], "species": ["Rh", "Rh", "Rh", "Rh", "Rh", "Rh", "Rh", "Rh", "Rh", "Rh", "Rh", "Rh", "C", "C", "C", "C"], "fractional_positions": [[0.0000, 0.1156, 0.2500], [0.0000, 0.8844, 0.7500], [0.2389, 0.3841, 0.2500], [0.2389, 0.6159, 0.7500], [0.2611, 0.1159, 0.7500], [0.2611, 0.8841, 0.2500], [0.5000, 0.3844, 0.7500], [0.5000, 0.6156, 0.2500], [0.7389, 0.1159, 0.7500], [0.7389, 0.8841, 0.2500], [0.7611, 0.3841, 0.2500], [0.7611, 0.6159, 0.7500], [0.0000, 0.3590, 0.2500], [0.0000, 0.6410, 0.7500], [0.5000, 0.1410, 0.7500], [0.5000, 0.8590, 0.2500]]}

=====

5.
{"formula": "Rh3C4", "functional": "PBE", "state": "optimized geometry", "relative_energy_kcal_per_mol_atoms": 0.00, "sg": "No. 191", "ef_ev_per_atom": 0.89, "dos_ef_per_ev_atom": 0.297, "lattice": [[5.7813, 0.0000, 0.0000], [-2.8907, 5.0068, 0.0000], [0.0000, 0.0000, 2.6467]], "species": ["Rh", "Rh", "Rh", "C", "C", "C", "C"], "fractional_positions": [[0.0000, 0.5000, 0.0000], [0.5000, 0.0000, 0.0000], [0.5000, 0.5000, 0.0000], [0.0000, 0.0000, 0.2564], [0.0000, 0.0000, 0.7436], [0.3333, 0.6667, 0.5000], [0.6667, 0.3333, 0.5000]]}

=====

6.
{"formula": "Rh5C3", "functional": "PBE", "state": "optimized geometry", "relative_energy_kcal_per_mol_atoms": 11.16, "sg": "No. 123", "ef_ev_per_atom": 0.89, "dos_ef_per_ev_atom": 0.531, "lattice": [[2.6943, 0.0000, 0.0000], [0.0000, 2.6943, 0.0000], [0.0000, 0.0000, 12.2440]], "species": ["Rh", "Rh", "Rh", "Rh", "Rh", "C", "C", "C"], "fractional_positions": [[0.0000, 0.0000, 0.0000], [0.0000, 0.0000, 0.2131], [0.0000, 0.0000, 0.7869], [0.5000, 0.5000, 0.3949], [0.5000, 0.5000, 0.6051], [0.0000, 0.0000, 0.5000], [0.5000, 0.5000, 0.1283], [0.5000, 0.5000, 0.8717]]}

=====

7.
{"formula": "RhC5", "functional": "PBE", "state": "optimized geometry", "relative_energy_kcal_per_mol_atoms": 31.25, "sg": "No. 123", "ef_ev_per_atom": 2.33, "dos_ef_per_ev_atom": 0.813, "lattice": [[3.2427, 0.0000, 0.0000], [0.0000, 3.2427, 0.0000], [0.0000, 0.0000, 5.3198]], "species": ["Rh", "C", "C", "C", "C", "C"], "fractional_positions": [[0.0000, 0.0000, 0.0000], [0.0000, 0.0000, 0.3761], [0.0000, 0.0000, 0.6239], [0.5000, 0.5000, 0.2435], [0.5000, 0.5000, 0.5000], [0.5000, 0.5000, 0.7565]]}

=====

8.
{"formula": "RhC", "functional": "PBE", "state": "optimized geometry", "sg": "No. 87", "ef_ev_per_atom": 0.80, "dos_ef_per_ev_atom": 0.737, "lattice": [[8.2162, 0.0000, 0.0000], [0.0000, 8.2162, 0.0000], [0.0000, 0.0000, 3.4020]], "species": ["Rh", "Rh", "Rh", "Rh", "Rh", "Rh", "Rh", "Rh", "C", "C", "C", "C", "C", "C", "C", "C"], "fractional_positions": [[0.1246, 0.3070, 0.0000], [0.1930, 0.6246, 0.5000], [0.3070, 0.8754, 0.0000], [0.3754, 0.1930, 0.5000], [0.6246, 0.8070, 0.5000], [0.6930, 0.1246, 0.0000], [0.8070, 0.3754, 0.5000], [0.8754, 0.6930, 0.0000], [0.1085, 0.7336, 0.0000], [0.2336, 0.3915, 0.5000], [0.2664, 0.1085, 0.0000], [0.3915, 0.7664, 0.5000], [0.6085, 0.2336, 0.5000], [0.7336, 0.8915, 0.0000], [0.7664, 0.6085, 0.5000], [0.8915, 0.2664, 0.0000]]}

=====

9.
{"formula": "RhC", "functional": "PBE", "state": "optimized geometry", "sg": "No. 83", "ef_ev_per_atom": 0.80, "dos_ef_per_ev_atom": 0.697, "lattice": [[8.2016, 0.0000, 0.0000], [0.0000, 8.2016, 0.0000], [0.0000, 0.0000, 3.3850]], "species": ["Rh", "Rh", "Rh", "Rh", "Rh", "Rh", "Rh", "Rh", "C", "C", "C", "C", "C", "C", "C", "C"], "fractional_positions": [[0.1038, 0.3210, 0.0000], [0.2048, 0.6433, 0.5000], [0.3210, 0.8962, 0.0000], [0.3567, 0.2048, 0.5000], [0.6433, 0.7952, 0.5000], [0.6790, 0.1038, 0.0000], [0.7952, 0.3567, 0.5000], [0.8962, 0.6790, 0.0000], [0.1231, 0.7494, 0.0000], [0.2203, 0.4077, 0.5000], [0.2506, 0.1231, 0.0000], [0.4077, 0.7797, 0.5000], [0.5923, 0.2203, 0.5000], [0.7494, 0.8769, 0.0000], [0.7797, 0.5923, 0.5000], [0.8769, 0.2506, 0.0000]]}

=====

10.
{"formula": "Rh4C", "functional": "PBE", "state": "optimized geometry", "relative_energy_kcal_per_mol_atoms": 2.91, "sg": "No. 164", "ef_ev_per_atom": 0.45, "dos_ef_per_ev_atom": 1.270, "lattice": [[2.8171, 0.0000, 0.0000], [-1.4086, 2.4397, 0.0000], [0.0000, 0.0000, 9.8543]], "species": ["Rh", "Rh", "Rh", "Rh", "C"], "fractional_positions": [[0.3333, 0.6667, 0.1067], [0.3333, 0.6667, 0.3699], [0.6667, 0.3333, 0.6301], [0.6667, 0.3333, 0.8933], [0.0000, 0.0000, 0.5000]]}

=====

11.
{"formula": "RhC", "functional": "PBE", "state": "optimized geometry", "sg": "No. 227", "ef_ev_per_atom": 2.24, "dos_ef_per_ev_atom": 1.031, "lattice": [[5.6476, 0.0000, 0.0000], [0.0000, 5.6476, 0.0000], [0.0000, 0.0000, 5.6476]], "species": ["Rh", "Rh", "Rh", "Rh", "Rh", "Rh", "Rh", "Rh", "C", "C", "C", "C", "C", "C", "C", "C"], "fractional_positions": [[0.1250, 0.1250, 0.1250], [0.1250, 0.6250, 0.6250], [0.3750, 0.3750, 0.8750], [0.3750, 0.8750, 0.3750], [0.6250, 0.1250, 0.6250], [0.6250, 0.6250, 0.1250], [0.8750, 0.3750, 0.3750], [0.8750, 0.8750, 0.8750], [0.1250, 0.1250, 0.6250], [0.1250, 0.6250, 0.1250], [0.3750, 0.3750, 0.3750], [0.3750, 0.8750, 0.8750], [0.6250, 0.1250, 0.1250], [0.6250, 0.6250, 0.6250], [0.8750, 0.3750, 0.8750], [0.8750, 0.8750, 0.3750]]}

=====

12.
{"formula": "RhC", "functional": "PBE", "state": "optimized geometry", "sg": "No. 8", "ef_ev_per_atom": 0.52, "dos_ef_per_ev_atom": 0.583, "lattice": [[5.0667, 0.0000, 0.0000], [0.0000, 2.9173, 0.0000], [-1.7258, 0.0000, 8.9313]], "species": ["Rh", "Rh", "Rh", "Rh", "Rh", "Rh", "C", "C", "C", "C", "C", "C"], "fractional_positions": [[0.0000, 0.0000, 0.0000], [0.0232, 0.5000, 0.5815], [0.1058, 0.0000, 0.3068], [0.5000, 0.5000, 0.0000], [0.5232, 0.0000, 0.5815], [0.6058, 0.5000, 0.3068], [0.2328, 0.5000, 0.1911], [0.2338, 0.0000, 0.7097], [0.2872, 0.0000, 0.8666], [0.7328, 0.0000, 0.1911], [0.7338, 0.5000, 0.7097], [0.7872, 0.5000, 0.8666]]}

=====

13.
{"formula": "RhC4", "functional": "PBE", "state": "optimized geometry", "relative_energy_kcal_per_mol_atoms": 0.00, "sg": "No. 164", "ef_ev_per_atom": 0.93, "dos_ef_per_ev_atom": 0.462, "lattice": [[2.7533, 0.0000, 0.0000], [-1.3767, 2.3844, 0.0000], [0.0000, 0.0000, 6.1484]], "species": ["Rh", "C", "C", "C", "C"], "fractional_positions": [[0.0000, 0.0000, 0.0000], [0.3333, 0.6667, 0.2176], [0.3333, 0.6667, 0.4554], [0.6667, 0.3333, 0.5446], [0.6667, 0.3333, 0.7824]]}

=====

14.
{"formula": "Rh3C", "functional": "PBE", "state": "optimized geometry", "sg": "No. 71", "ef_ev_per_atom": 0.45, "dos_ef_per_ev_atom": 1.247, "lattice": [[2.7821, 0.0000, 0.0000], [0.0000, 4.6187, 0.0000], [0.0000, 0.0000, 7.8494]], "species": ["Rh", "Rh", "Rh", "Rh", "Rh", "Rh", "C", "C"], "fractional_positions": [[0.0000, 0.0000, 0.0000], [0.0000, 0.5000, 0.1857], [0.0000, 0.5000, 0.8143], [0.5000, 0.0000, 0.3143], [0.5000, 0.0000, 0.6857], [0.5000, 0.5000, 0.5000], [0.0000, 0.0000, 0.5000], [0.5000, 0.5000, 0.0000]]}

=====

15.
{"formula": "RhC", "functional": "PBE", "state": "optimized geometry", "sg": "No. 70", "ef_ev_per_atom": 0.68, "dos_ef_per_ev_atom": 0.098, "lattice": [[0.0000, 4.5159, 5.2242], [2.6691, 0.0000, 5.2242], [2.6691, 4.5159, 0.0000]], "species": ["Rh", "Rh", "Rh", "Rh", "C", "C", "C", "C"], "fractional_positions": [[0.0045, 0.0045, 0.7455], [0.2545, 0.2545, 0.9955], [0.7455, 0.7455, 0.0045], [0.9955, 0.9955, 0.2545], [0.0465, 0.7035, 0.0465], [0.2965, 0.9535, 0.2965], [0.7035, 0.0465, 0.7035], [0.9535, 0.2965, 0.9535]]}

=====

16.
{"formula": "RhC", "functional": "PBE", "state": "optimized geometry", "sg": "No. 166", "ef_ev_per_atom": 0.79, "dos_ef_per_ev_atom": 0.979, "lattice": [[3.7403, 0.0000, 0.0000], [-1.8701, 3.2392, 0.0000], [0.0000, 0.0000, 11.1440]], "species": ["Rh", "Rh", "Rh", "Rh", "Rh", "Rh", "C", "C", "C", "C", "C", "C"], "fractional_positions": [[0.0000, 0.0000, 0.2478], [0.0000, 0.0000, 0.7522], [0.3333, 0.6667, 0.4189], [0.3333, 0.6667, 0.9144], [0.6667, 0.3333, 0.0856], [0.6667, 0.3333, 0.5811], [0.0000, 0.0000, 0.4365], [0.0000, 0.0000, 0.5635], [0.3333, 0.6667, 0.1031], [0.3333, 0.6667, 0.2302], [0.6667, 0.3333, 0.7698], [0.6667, 0.3333, 0.8969]]}

=====

17.
{"formula": "RhC5", "functional": "PBE", "state": "optimized geometry", "relative_energy_kcal_per_mol_atoms": 20.50, "sg": "No. 38", "ef_ev_per_atom": 1.86, "dos_ef_per_ev_atom": 0.313, "lattice": [[4.2476, 0.0000, 0.0000], [0.0000, 4.9646, 0.0000], [0.0000, 0.0000, 5.5512]], "species": ["Rh", "Rh", "C", "C", "C", "C", "C", "C", "C", "C", "C", "C"], "fractional_positions": [[0.0000, 0.0000, 0.0000], [0.0000, 0.5000, 0.5000], [0.0000, 0.0000, 0.3552], [0.0000, 0.0000, 0.5954], [0.0000, 0.5000, 0.0954], [0.0000, 0.5000, 0.8552], [0.5000, 0.0000, 0.4806], [0.5000, 0.0000, 0.7191], [0.5000, 0.0000, 0.9565], [0.5000, 0.5000, 0.2191], [0.5000, 0.5000, 0.4565], [0.5000, 0.5000, 0.9806]]}

=====

18.
{"formula": "RhC", "functional": "PBE", "state": "optimized geometry", "sg": "No. 62", "ef_ev_per_atom": 0.78, "dos_ef_per_ev_atom": 0.407, "lattice": [[5.3818, 0.0000, 0.0000], [0.0000, 3.0442, 0.0000], [0.0000, 0.0000, 5.3130]], "species": ["Rh", "Rh", "Rh", "Rh", "C", "C", "C", "C"], "fractional_positions": [[0.0647, 0.2500, 0.2263], [0.4353, 0.7500, 0.7263], [0.5647, 0.2500, 0.2737], [0.9353, 0.7500, 0.7737], [0.2111, 0.7500, 0.4236], [0.2889, 0.2500, 0.9236], [0.7111, 0.7500, 0.0764], [0.7889, 0.2500, 0.5764]]}

=====

19.
{"formula": "RhC", "functional": "PBE", "state": "optimized geometry", "sg": "No. 189", "ef_ev_per_atom": 0.81, "dos_ef_per_ev_atom": 0.628, "lattice": [[5.2880, 0.0000, 0.0000], [-2.6440, 4.5795, 0.0000], [0.0000, 0.0000, 2.7517]], "species": ["Rh", "Rh", "Rh", "C", "C", "C"], "fractional_positions": [[0.0000, 0.3675, 0.0000], [0.3675, 0.0000, 0.0000], [0.6325, 0.6325, 0.0000], [0.0000, 0.0000, 0.0000], [0.3333, 0.6667, 0.5000], [0.6667, 0.3333, 0.5000]]}

=====

20.
{"formula": "RhC", "functional": "PBE", "state": "optimized geometry", "sg": "No. 166", "ef_ev_per_atom": 0.50, "dos_ef_per_ev_atom": 0.837, "lattice": [[2.5625, 0.0000, 0.0000], [-1.2812, 2.2192, 0.0000], [0.0000, 0.0000, 34.2836]], "species": ["Rh", "Rh", "Rh", "Rh", "Rh", "Rh", "C", "C", "C", "C", "C", "C"], "fractional_positions": [[0.0000, 0.0000, 0.1338], [0.0000, 0.0000, 0.8662], [0.3333, 0.6667, 0.5328], [0.3333, 0.6667, 0.8005], [0.6667, 0.3333, 0.1995], [0.6667, 0.3333, 0.4672], [0.0000, 0.0000, 0.3333], [0.0000, 0.0000, 0.6667], [0.3333, 0.6667, 0.0000], [0.3333, 0.6667, 0.3333], [0.6667, 0.3333, 0.0000], [0.6667, 0.3333, 0.6667]]}